! GGA-PBE Zr2FeIrC, optimized geometry; values from VASP
! - energy (eV/cell) = -46.09
! - magnetic moment (μB/f.u.) = 1.143
! - DOS(E_F) (states/eV/atom) = 0.464
! - energy relative to the elements (eV per atom) = -0.489
! - V (Å³ per atom) = 15.4
&SYSTEM
  ibrav = 0, nat = 5, ntyp = 4
/
ATOMIC_SPECIES
Zr 91.22 Zr.upf
Ir 192.22 Ir.upf
Fe 55.84 Fe.upf
C 12.01 C.upf
CELL_PARAMETERS angstrom
4.590 0.000 0.000
0.000 4.590 0.000
0.000 0.000 3.642
ATOMIC_POSITIONS angstrom
Zr 0.000 2.295 0.000
Zr 2.295 0.000 0.000
Ir 2.295 2.295 1.821
Fe 0.000 0.000 1.821
C 0.000 0.000 0.000

***

! GGA-PBE InAg4Au3, optimized geometry; values from VASP
! - energy (eV/cell) = -24.29
! - relative energy among the computed polymorphs (meV/atom) = 0.0
! - magnetic moment (μB/f.u.) = 0.000
! - DOS(E_F) (states/eV/atom) = 0.285
! - energy relative to the elements (eV per atom) = -0.040
! - V (Å³ per atom) = 18.6
&SYSTEM
  ibrav = 0, nat = 8, ntyp = 3
/
ATOMIC_SPECIES
Ag 107.87 Ag.upf
Au 196.97 Au.upf
In 114.82 In.upf
CELL_PARAMETERS angstrom
-1.439 -4.633 -0.755
0.548 -0.953 4.805
-5.379 4.436 -1.004
ATOMIC_POSITIONS angstrom
Ag -2.623 0.341 2.905
Ag -1.918 -2.378 2.285
Ag -3.648 -1.491 0.141
Ag -4.352 1.228 0.761
Au -4.795 -1.566 2.787
Au -1.475 0.416 0.259
Au 0.274 -0.477 2.402
In -0.720 -2.317 -0.377

***

! GGA-PBE Tb5Sm2ErMg, optimized geometry; values from VASP
! - energy (eV/cell) = -75.75
! - magnetic moment (μB/f.u.) = 0.000
! - DOS(E_F) (states/eV/atom) = 1.402
! - energy relative to the elements (eV per atom) = 0.097
! - V (Å³ per atom) = 32.0
&SYSTEM
  ibrav = 0, nat = 18, ntyp = 4
/
ATOMIC_SPECIES
Tb 158.93 Tb.upf
Sm 150.36 Sm.upf
Er 167.26 Er.upf
Mg 24.30 Mg.upf
CELL_PARAMETERS angstrom
-3.876 -3.307 -1.910
1.928 -3.357 9.651
-7.395 6.507 3.741
ATOMIC_POSITIONS angstrom
Tb -2.294 -0.881 6.182
Tb -0.063 -0.090 0.285
Tb -3.475 -2.411 3.476
Tb -5.613 -0.075 11.521
Tb -5.701 0.469 3.007
Tb -5.708 -3.209 9.390
Tb -7.928 1.498 5.745
Tb -0.071 -3.768 6.669
Tb -5.236 1.698 7.687
Tb -3.843 0.018 0.018
Sm -2.205 0.786 3.112
Sm -5.323 3.529 4.692
Sm -3.569 -4.083 6.562
Sm -7.845 -0.321 8.728
Er -0.067 -1.996 3.594
Er -5.704 -1.303 6.082
Mg -1.988 -2.564 0.724
Mg -3.754 -0.761 8.937

***

! GGA-PBE SbMoN2, optimized geometry; values from VASP
! - energy (eV/cell) = -31.19
! - magnetic moment (μB/f.u.) = 0.000
! - DOS(E_F) (states/eV/atom) = 0.439
! - energy relative to the elements, uncorrected (eV per atom) = 0.105
! - V (Å³ per atom) = 13.8
&SYSTEM
  ibrav = 0, nat = 4, ntyp = 3
/
ATOMIC_SPECIES
Sb 121.76 Sb.upf
N 14.01 N.upf
Mo 95.94 Mo.upf
CELL_PARAMETERS angstrom
1.767 0.000 6.816
-0.883 1.530 6.816
-0.883 -1.530 6.816
ATOMIC_POSITIONS angstrom
Sb 0.000 0.000 0.000
N 0.000 0.000 18.202
N 0.000 0.000 2.245
Mo 0.000 0.000 10.223

***

! GGA-PBE SrCa4Ga, optimized geometry; values from VASP
! - energy (eV/cell) = -26.10
! - relative energy among the computed polymorphs (meV/atom) = 21.6
! - magnetic moment (μB/f.u.) = 0.000
! - DOS(E_F) (states/eV/atom) = 1.132
! - energy relative to the elements (eV per atom) = -0.055
! - V (Å³ per atom) = 38.1
&SYSTEM
  ibrav = 0, nat = 12, ntyp = 3
/
ATOMIC_SPECIES
Sr 87.62 Sr.upf
Ca 40.08 Ca.upf
Ga 69.72 Ga.upf
CELL_PARAMETERS angstrom
7.334 -0.002 2.899
-1.143 7.245 2.899
0.610 0.714 9.186
ATOMIC_POSITIONS angstrom
Sr 3.096 3.621 2.899
Sr 0.610 0.714 9.185
Ca 6.725 6.400 11.647
Ca 3.938 0.316 4.292
Ca 0.076 1.556 3.337
Ca 2.863 7.640 10.692
Ca 6.043 2.778 9.700
Ca 4.621 3.939 6.236
Ca 0.759 5.178 5.284
Ca 2.180 4.018 8.747
Ga 4.949 5.789 8.941
Ga 1.853 2.167 6.042

***

! GGA-PBE SrAc2Sc, optimized geometry; values from VASP
! - energy (eV/cell) = -15.41
! - relative energy among the computed polymorphs (meV/atom) = 120.2
! - magnetic moment (μB/f.u.) = 0.001
! - DOS(E_F) (states/eV/atom) = 1.561
! - energy relative to the elements (eV per atom) = 0.204
! - V (Å³ per atom) = 40.2
&SYSTEM
  ibrav = 0, nat = 4, ntyp = 3
/
ATOMIC_SPECIES
Ac 227.00 Ac.upf
Sr 87.62 Sr.upf
Sc 44.96 Sc.upf
CELL_PARAMETERS angstrom
4.339 0.000 0.000
0.000 6.090 0.000
0.000 0.000 6.090
ATOMIC_POSITIONS angstrom
Ac 0.000 0.000 3.045
Ac 0.000 3.045 0.000
Sr 2.170 3.045 3.045
Sc 2.170 0.000 0.000

***

! GGA-PBE SmDy2Er3, optimized geometry; values from VASP
! - energy (eV/cell) = -52.52
! - relative energy among the computed polymorphs (meV/atom) = 204.3
! - magnetic moment (μB/f.u.) = 0.000
! - DOS(E_F) (states/eV/atom) = 1.464
! - energy relative to the elements (eV per atom) = 0.225
! - V (Å³ per atom) = 32.5
&SYSTEM
  ibrav = 0, nat = 12, ntyp = 3
/
ATOMIC_SPECIES
Dy 162.50 Dy.upf
Er 167.26 Er.upf
Sm 150.36 Sm.upf
CELL_PARAMETERS angstrom
-4.839 3.542 -3.159
-0.063 -5.191 -5.725
-5.233 -5.294 2.080
ATOMIC_POSITIONS angstrom
Dy -7.082 -4.716 -2.827
Dy -1.375 -3.454 -2.883
Dy -3.149 -3.489 -0.205
Dy -5.309 -4.681 -5.505
Er -4.795 1.339 -3.159
Er -4.555 -6.284 -1.175
Er -3.896 -1.891 -4.530
Er -5.667 -1.926 -1.855
Er -6.070 -7.746 -4.122
Er -2.783 -6.249 -3.850
Sm -2.359 -0.380 -1.568
Sm -8.520 -6.017 -5.723

***

! GGA-PBE ScInW2, optimized geometry; values from VASP
! - energy (eV/cell) = -33.61
! - magnetic moment (μB/f.u.) = 0.000
! - DOS(E_F) (states/eV/atom) = 0.885
! - energy relative to the elements (eV per atom) = 0.341
! - V (Å³ per atom) = 18.5
&SYSTEM
  ibrav = 0, nat = 4, ntyp = 3
/
ATOMIC_SPECIES
W 183.84 W.upf
In 114.82 In.upf
Sc 44.96 Sc.upf
CELL_PARAMETERS angstrom
2.830 0.000 0.000
0.000 2.830 0.000
0.000 0.000 9.254
ATOMIC_POSITIONS angstrom
W 0.000 0.000 0.026
W 1.415 1.415 2.266
In 0.000 0.000 4.531
Sc 1.415 1.415 7.058

***

! GGA-PBE ZrFe2Au2, optimized geometry; values from VASP
! - energy (eV/cell) = -31.89
! - relative energy among the computed polymorphs (meV/atom) = 24.1
! - magnetic moment (μB/f.u.) = 4.928
! - DOS(E_F) (states/eV/atom) = 1.001
! - energy relative to the elements (eV per atom) = 0.028
! - V (Å³ per atom) = 17.4
&SYSTEM
  ibrav = 0, nat = 5, ntyp = 3
/
ATOMIC_SPECIES
Fe 55.84 Fe.upf
Au 196.97 Au.upf
Zr 91.22 Zr.upf
CELL_PARAMETERS angstrom
3.638 0.000 0.000
0.000 3.638 0.000
1.819 1.819 6.593
ATOMIC_POSITIONS angstrom
Fe 3.638 1.819 3.296
Fe 1.819 3.638 3.296
Au 3.638 3.638 5.222
Au 1.819 1.819 1.371
Zr 0.000 0.000 0.000

***

! GGA-PBE LaIrC2Se, optimized geometry; values from VASP
! - energy (eV/cell) = -34.04
! - magnetic moment (μB/f.u.) = 0.000
! - DOS(E_F) (states/eV/atom) = 0.439
! - energy relative to the elements, uncorrected (eV per atom) = 0.336
! - V (Å³ per atom) = 20.6
&SYSTEM
  ibrav = 0, nat = 5, ntyp = 4
/
ATOMIC_SPECIES
La 138.91 La.upf
C 12.01 C.upf
Se 78.96 Se.upf
Ir 192.22 Ir.upf
CELL_PARAMETERS angstrom
4.002 0.000 0.000
0.000 6.422 0.000
0.000 0.000 4.002
ATOMIC_POSITIONS angstrom
La 0.000 3.211 0.000
C 2.001 0.000 0.000
C 0.000 0.000 2.001
Se 2.001 3.211 2.001
Ir 0.000 0.000 0.000

***

! GGA-PBE Na2TmThS4, optimized geometry; values from VASP
! - energy (eV/cell) = -44.80
! - magnetic moment (μB/f.u.) = 0.000
! - DOS(E_F) (states/eV/atom) = 0.490
! - energy relative to the elements, uncorrected (eV per atom) = -1.720
! - V (Å³ per atom) = 23.2
&SYSTEM
  ibrav = 0, nat = 8, ntyp = 4
/
ATOMIC_SPECIES
S 32.06 S.upf
Na 22.99 Na.upf
Tm 168.93 Tm.upf
Th 232.04 Th.upf
CELL_PARAMETERS angstrom
3.959 0.000 0.000
0.000 6.928 0.141
0.000 -2.401 6.719
ATOMIC_POSITIONS angstrom
S 0.000 -0.023 5.225
S 1.980 3.321 5.225
S 0.000 4.550 1.634
S 1.980 1.206 1.634
Na 0.000 2.264 3.430
Na 1.980 -1.200 3.359
Tm 1.980 3.464 0.070
Th 0.000 0.000 0.000

***

! GGA-PBE KRbUO4, optimized geometry; values from VASP
! - energy (eV/cell) = -51.77
! - magnetic moment (μB/f.u.) = 0.000
! - DOS(E_F) (states/eV/atom) = 0.000
! - energy relative to the elements, uncorrected (eV per atom) = -2.655
! - V (Å³ per atom) = 18.9
&SYSTEM
  ibrav = 0, nat = 7, ntyp = 4
/
ATOMIC_SPECIES
O 16.00 O.upf
U 238.03 U.upf
Rb 85.47 Rb.upf
K 39.10 K.upf
CELL_PARAMETERS angstrom
4.374 0.000 0.000
0.000 4.374 0.000
-2.187 -2.187 6.928
ATOMIC_POSITIONS angstrom
O 2.187 2.187 4.970
O 0.000 0.000 1.948
O 2.187 0.000 6.898
O 0.000 2.187 6.898
U 2.187 2.187 6.919
Rb 2.187 2.187 2.152
K 0.000 0.000 4.854

***

! GGA-PBE Th5AgTe4, optimized geometry; values from VASP
! - energy (eV/cell) = -60.81
! - magnetic moment (μB/f.u.) = 0.000
! - DOS(E_F) (states/eV/atom) = 1.063
! - energy relative to the elements, uncorrected (eV per atom) = -0.830
! - V (Å³ per atom) = 28.2
&SYSTEM
  ibrav = 0, nat = 10, ntyp = 3
/
ATOMIC_SPECIES
Th 232.04 Th.upf
Te 127.60 Te.upf
Ag 107.87 Ag.upf
CELL_PARAMETERS angstrom
3.827 0.000 0.000
0.000 3.827 0.000
0.000 0.000 19.282
ATOMIC_POSITIONS angstrom
Th 1.914 1.914 9.641
Th 1.914 1.914 1.879
Th 1.914 1.914 17.402
Th 1.914 1.914 5.754
Th 1.914 1.914 13.527
Te 0.000 0.000 7.709
Te 0.000 0.000 15.438
Te 0.000 0.000 11.572
Te 0.000 0.000 3.844
Ag 0.000 0.000 0.000

***

! GGA-PBE Rb2BeS2, optimized geometry; values from VASP
! - energy (eV/cell) = -38.87
! - relative energy among the computed polymorphs (meV/atom) = 0.0
! - magnetic moment (μB/f.u.) = 0.000
! - DOS(E_F) (states/eV/atom) = 0.000
! - energy relative to the elements, uncorrected (eV per atom) = -1.104
! - V (Å³ per atom) = 34.3
&SYSTEM
  ibrav = 0, nat = 10, ntyp = 3
/
ATOMIC_SPECIES
Be 9.01 Be.upf
S 32.06 S.upf
Rb 85.47 Rb.upf
CELL_PARAMETERS angstrom
6.426 0.000 0.000
-3.213 6.941 -1.685
0.000 -5.410 8.997
ATOMIC_POSITIONS angstrom
Be 3.213 0.807 0.933
Be 0.000 0.723 6.378
S 3.213 -4.153 7.923
S 3.213 2.124 2.406
S 0.000 -0.593 4.905
S 0.000 5.684 -0.612
Rb 0.000 2.004 3.011
Rb 3.213 4.576 0.327
Rb 0.000 -3.045 6.984
Rb 3.213 -0.474 4.300

***

! GGA-PBE NdYEr2Tm6, optimized geometry; values from VASP
! - energy (eV/cell) = -91.93
! - magnetic moment (μB/f.u.) = 0.000
! - DOS(E_F) (states/eV/atom) = 1.474
! - energy relative to the elements (eV per atom) = 0.122
! - V (Å³ per atom) = 31.4
&SYSTEM
  ibrav = 0, nat = 20, ntyp = 4
/
ATOMIC_SPECIES
Er 167.26 Er.upf
Tm 168.93 Tm.upf
Nd 144.24 Nd.upf
Y 88.91 Y.upf
CELL_PARAMETERS angstrom
8.968 -1.991 -2.067
0.871 8.438 -2.004
0.871 -2.316 8.358
ATOMIC_POSITIONS angstrom
Er 9.853 2.104 3.343
Er 5.342 -0.127 1.028
Er 5.369 4.258 3.260
Er 0.858 2.027 0.945
Tm 6.585 1.265 3.674
Tm 9.428 4.934 -1.621
Tm 5.766 4.938 -1.617
Tm 4.087 6.626 1.003
Tm 8.610 -0.489 1.853
Tm 8.571 -0.239 5.625
Tm 2.100 4.621 2.434
Tm 6.623 -2.494 3.284
Tm 2.139 4.370 -1.338
Tm 4.944 -0.807 5.904
Tm 1.282 -0.803 5.908
Tm 4.126 2.866 0.613
Nd 7.597 -3.520 6.530
Nd 3.113 7.651 -2.242
Y 7.597 2.539 0.691
Y 3.113 1.592 3.597

***

! GGA-PBE KTl10Pb2, optimized geometry; values from VASP
! - energy (eV/cell) = -32.29
! - magnetic moment (μB/f.u.) = 0.000
! - DOS(E_F) (states/eV/atom) = 0.550
! - energy relative to the elements (eV per atom) = -0.009
! - V (Å³ per atom) = 33.3
&SYSTEM
  ibrav = 0, nat = 13, ntyp = 3
/
ATOMIC_SPECIES
Pb 207.20 Pb.upf
Tl 204.38 Tl.upf
K 39.10 K.upf
CELL_PARAMETERS angstrom
-0.565 2.379 -6.118
-8.508 0.438 -2.591
-0.790 8.560 -0.147
ATOMIC_POSITIONS angstrom
Pb -4.254 0.219 -1.296
Pb -4.536 1.408 -4.355
Tl -2.147 2.592 -2.342
Tl -0.395 4.280 -0.073
Tl -3.544 5.660 -1.020
Tl -7.141 3.350 -5.133
Tl -3.681 4.742 -4.911
Tl -2.722 8.026 -3.723
Tl -6.319 5.717 -7.836
Tl -7.716 8.785 -6.514
Tl -6.182 6.634 -3.945
Tl -0.678 5.469 -3.132
K 0.000 0.000 0.000

***

! GGA-PBE FeHPd3, optimized geometry; values from VASP
! - energy (eV/cell) = -21.18
! - relative energy among the computed polymorphs (meV/atom) = 1314.0
! - magnetic moment (μB/f.u.) = 4.880
! - DOS(E_F) (states/eV/atom) = 0.511
! - V (Å³ per atom) = 19.9
&SYSTEM
  ibrav = 0, nat = 5, ntyp = 3
/
ATOMIC_SPECIES
Pd 106.42 Pd.upf
H 1.01 H.upf
Fe 55.84 Fe.upf
CELL_PARAMETERS angstrom
4.638 0.000 0.000
0.000 4.638 0.000
0.000 0.000 4.638
ATOMIC_POSITIONS angstrom
Pd 0.000 0.000 2.319
Pd 0.000 2.319 0.000
Pd 2.319 0.000 0.000
H 2.319 2.319 2.319
Fe 0.000 0.000 0.000

***

! GGA-PBE CsFe2Pd, optimized geometry; values from VASP
! - energy (eV/cell) = -17.63
! - magnetic moment (μB/f.u.) = 4.996
! - DOS(E_F) (states/eV/atom) = 0.365
! - energy relative to the elements (eV per atom) = 1.335
! - V (Å³ per atom) = 18.2
&SYSTEM
  ibrav = 0, nat = 4, ntyp = 3
/
ATOMIC_SPECIES
Fe 55.84 Fe.upf
Pd 106.42 Pd.upf
Cs 132.91 Cs.upf
CELL_PARAMETERS angstrom
0.000 3.311 3.311
3.311 0.000 3.311
3.311 3.311 0.000
ATOMIC_POSITIONS angstrom
Fe 1.656 1.656 1.656
Fe 4.967 4.967 4.967
Pd 0.000 0.000 0.000
Cs 3.311 3.311 3.311

***

! GGA-PBE Ba2Te2Pd, optimized geometry; values from VASP
! - energy (eV/cell) = -41.05
! - magnetic moment (μB/f.u.) = 0.000
! - DOS(E_F) (states/eV/atom) = 0.172
! - energy relative to the elements, uncorrected (eV per atom) = -1.041
! - V (Å³ per atom) = 35.5
&SYSTEM
  ibrav = 0, nat = 10, ntyp = 3
/
ATOMIC_SPECIES
Pd 106.42 Pd.upf
Ba 137.33 Ba.upf
Te 127.60 Te.upf
CELL_PARAMETERS angstrom
8.685 0.000 0.000
0.000 8.685 0.000
0.000 0.000 4.712
ATOMIC_POSITIONS angstrom
Pd 4.343 4.343 0.000
Pd 0.000 0.000 0.000
Ba 5.651 7.377 2.356
Ba 3.035 1.308 2.356
Ba 7.377 3.035 2.356
Ba 1.308 5.651 2.356
Te 5.756 1.414 0.000
Te 2.929 7.272 0.000
Te 7.272 5.756 0.000
Te 1.414 2.929 0.000

***

! GGA-PBE ErUS4, optimized geometry; values from VASP
! - energy (eV/cell) = -83.61
! - relative energy among the computed polymorphs (meV/atom) = 0.0
! - magnetic moment (μB/f.u.) = 1.000
! - DOS(E_F) (states/eV/atom) = 0.719
! - energy relative to the elements, uncorrected (eV per atom) = -1.574
! - V (Å³ per atom) = 29.7
&SYSTEM
  ibrav = 0, nat = 12, ntyp = 3
/
ATOMIC_SPECIES
S 32.06 S.upf
U 238.03 U.upf
Er 167.26 Er.upf
CELL_PARAMETERS angstrom
-3.337 2.114 -0.680
-3.707 -4.905 2.941
2.527 7.414 10.645
ATOMIC_POSITIONS angstrom
S -1.538 3.697 7.225
S -2.979 0.926 5.681
S -4.971 2.416 8.273
S -4.470 1.047 1.563
S -0.047 3.576 11.344
S -4.566 -2.348 3.291
S 0.454 2.207 4.633
S 0.049 6.971 9.615
U -0.590 1.254 6.793
U -3.522 -1.396 1.131
Er 0.000 0.000 0.000
Er -0.405 4.764 4.982